w:
# PmNdC PBE-GGA optimized geometry
# theoretical density	6.67	g cm⁻³
# crystal system	orthorhombic
# magnetization	0.0	μB/f.u.
data_PmNdC
_symmetry_space_group_name_H-M 'A m m 2'
_symmetry_Int_Tables_number 38
_symmetry_space_group_name_Hall 'A 2 -2'
_cell_length_a 12.898
_cell_length_b 3.664
_cell_length_c 6.346
_cell_angle_alpha 90.00
_cell_angle_beta 90.00
_cell_angle_gamma 90.00
loop_
_atom_site_label
_atom_site_type_symbol
_atom_site_fract_x
_atom_site_fract_y
_atom_site_fract_z
Pm1 Pm 0.114 0.000 0.000
Nd1 Nd 0.385 0.000 0.673
C1 C 0.000 0.000 0.667
C2 C 0.500 0.000 0.007

x:
# PmNdC PBE-GGA optimized geometry
# theoretical density	6.88	g cm⁻³
# crystal system	orthorhombic
# magnetization	0.0	μB/f.u.
data_PmNdC
_symmetry_space_group_name_H-M 'P n m a'
_symmetry_Int_Tables_number 62
_symmetry_space_group_name_Hall '-P 2ac 2n'
_cell_length_a 6.817
_cell_length_b 3.533
_cell_length_c 12.071
_cell_angle_alpha 90.00
_cell_angle_beta 90.00
_cell_angle_gamma 90.00
loop_
_atom_site_label
_atom_site_type_symbol
_atom_site_fract_x
_atom_site_fract_y
_atom_site_fract_z
Pm1 Pm 0.081 0.250 0.248
Nd1 Nd 0.219 0.750 0.000
C1 C 0.078 0.250 0.867

Unit: meV/atom. Relative energies: w 98; x 0.

w:
# Nd2ReC2 PBE-GGA optimized geometry
# theoretical density	8.99	g cm⁻³
# crystal system	orthorhombic
# magnetization	0.0	μB/f.u.
data_Nd2ReC2
_symmetry_space_group_name_H-M 'P n m a'
_symmetry_Int_Tables_number 62
_symmetry_space_group_name_Hall '-P 2ac 2n'
_cell_length_a 6.723
_cell_length_b 5.361
_cell_length_c 10.223
_cell_angle_alpha 90.00
_cell_angle_beta 90.00
_cell_angle_gamma 90.00
loop_
_atom_site_label
_atom_site_type_symbol
_atom_site_fract_x
_atom_site_fract_y
_atom_site_fract_z
Nd1 Nd 0.027 0.250 0.214
Nd2 Nd 0.187 0.250 0.551
Re1 Re 0.229 0.250 0.858
C1 C 0.035 0.750 0.242
C2 C 0.187 0.750 0.537

x:
# Nd2ReC2 PBE-GGA optimized geometry
# theoretical density	8.97	g cm⁻³
# crystal system	monoclinic
# magnetization	0.0	μB/f.u.
data_Nd2ReC2
_symmetry_space_group_name_H-M 'C 1 2/m 1'
_symmetry_Int_Tables_number 12
_symmetry_space_group_name_Hall '-C 2y'
_cell_length_a 11.531
_cell_length_b 5.386
_cell_length_c 6.847
_cell_angle_alpha 90.00
_cell_angle_beta 119.76
_cell_angle_gamma 90.00
loop_
_atom_site_label
_atom_site_type_symbol
_atom_site_fract_x
_atom_site_fract_y
_atom_site_fract_z
Nd1 Nd 0.035 0.000 0.285
Nd2 Nd 0.181 0.500 0.130
Re1 Re 0.136 0.500 0.631
C1 C 0.006 0.500 0.284
C2 C 0.184 0.000 0.116

Unit: meV/atom. Relative energies: w 0; x 73.

w:
# NdRhC PBE-GGA optimized geometry
# theoretical density	8.08	g cm⁻³
# crystal system	tetragonal
# magnetization	0.0	μB/f.u.
data_NdRhC
_symmetry_space_group_name_H-M 'P 4/n m m'
_symmetry_Int_Tables_number 129
_cell_length_a 3.728
_cell_length_b 3.728
_cell_length_c 7.669
_cell_angle_alpha 90.00
_cell_angle_beta 90.00
_cell_angle_gamma 90.00
loop_
_symmetry_equiv_pos_as_xyz
'x,y,z'
'-x,-y,-z'
'-y+1/2,x,z'
'y+1/2,-x,-z'
'-x+1/2,-y+1/2,z'
'x+1/2,y+1/2,-z'
'y,-x+1/2,z'
'-y,x+1/2,-z'
'x+1/2,-y,-z'
'-x+1/2,y,z'
'-y,-x,-z'
'y,x,z'
'-x,y+1/2,-z'
'x,-y+1/2,z'
'y+1/2,x+1/2,-z'
'-y+1/2,-x+1/2,z'
loop_
_atom_site_label
_atom_site_type_symbol
_atom_site_fract_x
_atom_site_fract_y
_atom_site_fract_z
Nd1 Nd 0.250 0.250 0.173
Rh1 Rh 0.250 0.250 0.590
C1 C 0.250 0.250 0.836

x:
# NdRhC PBE-GGA optimized geometry
# theoretical density	8.51	g cm⁻³
# crystal system	trigonal
# magnetization	0.0	μB/f.u.
data_NdRhC
_symmetry_space_group_name_H-M 'P 3 m 1'
_symmetry_Int_Tables_number 156
_symmetry_space_group_name_Hall 'P 3 -2"'
_cell_length_a 3.4771
_cell_length_b 3.4771
_cell_length_c 4.8281
_cell_angle_alpha 90.00
_cell_angle_beta 90.00
_cell_angle_gamma 120.00
loop_
_atom_site_label
_atom_site_type_symbol
_atom_site_fract_x
_atom_site_fract_y
_atom_site_fract_z
Nd1 Nd 0.0000 0.0000 0.0000
Rh1 Rh 0.6667 0.3333 0.4714
C1 C 0.3333 0.6667 0.3463

Unit: meV/atom. Relative energies: w 138; x 0.

w:
# NdRuC PBE-GGA optimized geometry
# theoretical density	7.68	g cm⁻³
# crystal system	orthorhombic
# magnetization	0.0	μB/f.u.
data_NdRuC
_symmetry_space_group_name_H-M 'P m m a'
_symmetry_Int_Tables_number 51
_symmetry_space_group_name_Hall '-P 2a 2a'
_cell_length_a 5.906
_cell_length_b 3.604
_cell_length_c 5.228
_cell_angle_alpha 90.00
_cell_angle_beta 90.00
_cell_angle_gamma 90.00
loop_
_atom_site_label
_atom_site_type_symbol
_atom_site_fract_x
_atom_site_fract_y
_atom_site_fract_z
Nd1 Nd 0.250 0.000 0.230
Ru1 Ru 0.250 0.500 0.723
C1 C 0.000 0.500 0.500

x:
# NdRuC PBE-GGA optimized geometry
# theoretical density	7.90	g cm⁻³
# crystal system	tetragonal
# magnetization	0.0	μB/f.u.
data_NdRuC
_symmetry_space_group_name_H-M 'P 42/m m c'
_symmetry_Int_Tables_number 131
_symmetry_space_group_name_Hall '-P 4c 2'
_cell_length_a 3.906
_cell_length_b 3.906
_cell_length_c 7.093
_cell_angle_alpha 90.00
_cell_angle_beta 90.00
_cell_angle_gamma 90.00
loop_
_atom_site_label
_atom_site_type_symbol
_atom_site_fract_x
_atom_site_fract_y
_atom_site_fract_z
Nd1 Nd 0.000 0.000 0.250
Ru1 Ru 0.500 0.500 0.000
C1 C 0.000 0.500 0.000

Unit: meV/atom. Relative energies: w 54; x 0.

w:
# Nd2RuC PBE-GGA optimized geometry
# theoretical density	6.78	g cm⁻³
# crystal system	monoclinic
# magnetization	0.0	μB/f.u.
data_Nd2RuC
_symmetry_space_group_name_H-M 'C 1 2/m 1'
_symmetry_Int_Tables_number 12
_symmetry_space_group_name_Hall '-C 2y'
_cell_length_a 14.117
_cell_length_b 3.690
_cell_length_c 3.933
_cell_angle_alpha 90.00
_cell_angle_beta 106.10
_cell_angle_gamma 90.00
loop_
_atom_site_label
_atom_site_type_symbol
_atom_site_fract_x
_atom_site_fract_y
_atom_site_fract_z
Nd1 Nd 0.127 0.000 0.127
Ru1 Ru 0.000 0.500 0.500
C1 C 0.000 0.500 0.000

x:
# Nd2RuC PBE-GGA optimized geometry
# theoretical density	8.14	g cm⁻³
# crystal system	monoclinic
# magnetization	0.0	μB/f.u.
data_Nd2RuC
_symmetry_space_group_name_H-M 'P 1 21/m 1'
_symmetry_Int_Tables_number 11
_symmetry_space_group_name_Hall '-P 2yb'
_cell_length_a 5.452
_cell_length_b 3.636
_cell_length_c 8.492
_cell_angle_alpha 90.00
_cell_angle_beta 103.29
_cell_angle_gamma 90.00
loop_
_atom_site_label
_atom_site_type_symbol
_atom_site_fract_x
_atom_site_fract_y
_atom_site_fract_z
Nd1 Nd 0.225 0.250 0.433
Nd2 Nd 0.268 0.750 0.086
Ru1 Ru 0.300 0.750 0.743
C1 C 0.167 0.250 0.780

Unit: meV/atom. Relative energies: w 0; x 181.

w:
# NdScC PBE-GGA optimized geometry
# theoretical density	5.04	g cm⁻³
# crystal system	trigonal
# magnetization	0.0	μB/f.u.
data_NdScC
_symmetry_space_group_name_H-M 'P 3 m 1'
_symmetry_Int_Tables_number 156
_symmetry_space_group_name_Hall 'P 3 -2"'
_cell_length_a 3.5020
_cell_length_b 3.5020
_cell_length_c 6.2359
_cell_angle_alpha 90.00
_cell_angle_beta 90.00
_cell_angle_gamma 120.00
loop_
_atom_site_label
_atom_site_type_symbol
_atom_site_fract_x
_atom_site_fract_y
_atom_site_fract_z
Nd1 Nd 0.0000 0.0000 0.0000
Sc1 Sc 0.6667 0.3333 0.5781
C1 C 0.3333 0.6667 0.7482

x:
# NdScC PBE-GGA optimized geometry
# theoretical density	4.99	g cm⁻³
# crystal system	orthorhombic
# magnetization	0.0	μB/f.u.
data_NdScC
_symmetry_space_group_name_H-M 'P m m n'
_symmetry_Int_Tables_number 59
_cell_length_a 3.544
_cell_length_b 4.623
_cell_length_c 8.175
_cell_angle_alpha 90.00
_cell_angle_beta 90.00
_cell_angle_gamma 90.00
loop_
_symmetry_equiv_pos_as_xyz
'x,y,z'
'-x,-y,-z'
'-x+1/2,-y+1/2,z'
'x+1/2,y+1/2,-z'
'x+1/2,-y,-z'
'-x+1/2,y,z'
'-x,y+1/2,-z'
'x,-y+1/2,z'
loop_
_atom_site_label
_atom_site_type_symbol
_atom_site_fract_x
_atom_site_fract_y
_atom_site_fract_z
Nd1 Nd 0.250 0.250 0.174
Sc1 Sc 0.250 0.250 0.576
C1 C 0.250 0.750 0.610

y:
# NdScC PBE-GGA optimized geometry
# theoretical density	5.20	g cm⁻³
# crystal system	orthorhombic
# magnetization	0.0	μB/f.u.
data_NdScC
_symmetry_space_group_name_H-M 'I m m a'
_symmetry_Int_Tables_number 74
_symmetry_space_group_name_Hall '-I 2b 2'
_cell_length_a 4.638
_cell_length_b 5.363
_cell_length_c 10.341
_cell_angle_alpha 90.00
_cell_angle_beta 90.00
_cell_angle_gamma 90.00
loop_
_atom_site_label
_atom_site_type_symbol
_atom_site_fract_x
_atom_site_fract_y
_atom_site_fract_z
Nd1 Nd 0.000 0.250 0.110
Sc1 Sc 0.000 0.250 0.647
C1 C 0.000 0.250 0.867

Unit: meV/atom. Relative energies: w 66; x 0; y 101.